[1]
HfCrSi: optimized geometry, PBE-GGA.

Values from the calculation:
For the density of states at the Fermi level, the calculation gives 8.2 states/eV/cell. The theoretical density is 9.2 g/cm3. The calculation puts the total magnetization at 0.0 μB/f.u. The value obtained for the final energy is -8.901 eV/atom.

Unit cell a=3.688 b=13.793 c=3.688 alpha=90.00 beta=90.00 gamma=90.00
Fractional positions:
1 Si 0.000 0.377 0.366
2 Si 0.000 0.623 0.366
3 Hf 0.500 0.674 0.866
4 Hf 0.000 0.826 0.366
5 Si 0.500 0.123 0.866
6 Cr 0.500 0.500 0.366
7 Hf 0.000 0.174 0.366
8 Hf 0.500 0.326 0.866
9 Cr 0.000 0.000 0.866
10 Si 0.500 0.877 0.866
11 Cr 0.500 0.000 0.366
12 Cr 0.000 0.500 0.866

[2]
HfCrSi3: optimized geometry, PBE-GGA.

Values from the calculation:
For the density of states at the Fermi level, the calculation gives 3.5 states/eV/cell. The theoretical density is 6.1 g/cm3. The calculation puts the total magnetization at 0.1 μB/f.u. The energy above the most stable polymorph in this dataset comes out at 0 meV per atom.

Unit cell a=4.410 b=4.410 c=4.410 alpha=90.00 beta=90.00 gamma=90.00
Fractional positions:
1 Cr 0.000 0.000 0.000
2 Hf 0.500 0.500 0.500
3 Si 0.500 0.000 0.000
4 Si 0.000 0.000 0.500
5 Si 0.000 0.500 0.000

[3]
HfCr3Si: optimized geometry, PBE-GGA.

Values from the calculation:
For the density of states at the Fermi level, the calculation gives 4.4 states/eV/cell. The theoretical density is 5.7 g/cm3. The calculation puts the total magnetization at 8.6 μB/f.u. The energy above the most stable polymorph in this dataset comes out at 1302 meV per atom.

Unit cell a=4.718 b=4.718 c=4.718 alpha=90.00 beta=90.00 gamma=90.00
Fractional positions:
1 Cr 0.000 0.000 0.500
2 Cr 0.000 0.500 0.000
3 Cr 0.500 0.000 0.000
4 Hf 0.000 0.000 0.000
5 Si 0.500 0.500 0.500

[4]
HfCr2Si2: optimized geometry, PBE-GGA.

Values from the calculation:
For the density of states at the Fermi level, the calculation gives 8.1 states/eV/cell. The theoretical density is 8.0 g/cm3. The calculation puts the total magnetization at 1.7 μB/f.u. The energy above the most stable polymorph in this dataset comes out at 0 meV per atom.

Unit cell a=6.861 b=6.861 c=2.982 alpha=90.00 beta=90.00 gamma=90.00
Fractional positions:
1 Cr 0.842 0.342 0.500
2 Hf 0.000 0.000 0.000
3 Cr 0.158 0.658 0.500
4 Si 0.870 0.630 0.000
5 Hf 0.500 0.500 0.000
6 Cr 0.658 0.842 0.500
7 Si 0.630 0.130 0.000
8 Cr 0.342 0.158 0.500
9 Si 0.370 0.870 0.000
10 Si 0.130 0.370 0.000

[5]
Hf2CrSi2: optimized geometry, PBE-GGA.

Values from the calculation:
For the density of states at the Fermi level, the calculation gives 2.5 states/eV/cell. The theoretical density is 9.6 g/cm3. The calculation puts the total magnetization at 0.0 μB/f.u. The value obtained for the final energy is -8.720 eV/atom.

Unit cell a=6.478 b=6.478 c=3.840 alpha=90.00 beta=90.00 gamma=90.00
Fractional positions:
1 Si 0.131 0.369 0.000
2 Cr 0.000 0.000 0.000
3 Cr 0.500 0.500 0.000
4 Hf 0.174 0.674 0.500
5 Si 0.631 0.131 0.000
6 Hf 0.326 0.174 0.500
7 Si 0.369 0.869 0.000
8 Hf 0.674 0.826 0.500
9 Si 0.869 0.631 0.000
10 Hf 0.826 0.326 0.500

[6]
Hf2Cr2Si: optimized geometry, PBE-GGA.

Values from the calculation:
For the density of states at the Fermi level, the calculation gives 4.0 states/eV/cell. The theoretical density is 8.9 g/cm3. The calculation puts the total magnetization at 0.0 μB/f.u. The energy above the most stable polymorph in this dataset comes out at 916 meV per atom.

Unit cell a=4.121 b=4.121 c=6.100 alpha=70.26 beta=70.26 gamma=90.00
Fractional positions:
1 Hf 0.750 0.250 0.500
2 Cr 0.413 0.413 0.174
3 Cr 0.587 0.587 0.826
4 Si 0.000 0.000 0.000
5 Hf 0.250 0.750 0.500

[7]
HfCrSi: optimized geometry, PBE-GGA.

Values from the calculation:
For the density of states at the Fermi level, the calculation gives 7.6 states/eV/cell. The theoretical density is 9.3 g/cm3. The calculation puts the total magnetization at 0.0 μB/f.u. The value obtained for the final energy is -8.877 eV/atom.

Unit cell a=3.564 b=9.814 c=5.273 alpha=90.00 beta=90.00 gamma=90.00
Fractional positions:
1 Si 0.500 0.600 0.750
2 Cr 0.000 0.500 0.000
3 Si 0.500 0.400 0.250
4 Si 0.000 0.900 0.250
5 Cr 0.500 0.000 0.500
6 Cr 0.000 0.500 0.500
7 Hf 0.500 0.309 0.750
8 Si 0.000 0.100 0.750
9 Hf 0.500 0.691 0.250
10 Cr 0.500 0.000 0.000
11 Hf 0.000 0.809 0.750
12 Hf 0.000 0.191 0.250

[8]
HfCrSi: optimized geometry, PBE-GGA.

Values from the calculation:
For the density of states at the Fermi level, the calculation gives 7.0 states/eV/cell. The theoretical density is 9.0 g/cm3. The calculation puts the total magnetization at 0.0 μB/f.u. The value obtained for the final energy is -8.641 eV/atom.

Unit cell a=7.075 b=3.078 c=9.862 alpha=90.00 beta=117.06 gamma=90.00
Fractional positions:
1 Si 0.837 0.500 0.373
2 Si 0.163 0.000 0.127
3 Hf 0.766 0.000 0.124
4 Cr 0.552 0.000 0.351
5 Hf 0.766 0.500 0.624
6 Cr 0.448 0.000 0.649
7 Cr 0.448 0.500 0.149
8 Si 0.163 0.500 0.627
9 Hf 0.234 0.000 0.876
10 Hf 0.234 0.500 0.376
11 Si 0.837 0.000 0.873
12 Cr 0.552 0.500 0.851

[9]
HfCrSi3: optimized geometry, PBE-GGA.

Values from the calculation:
For the density of states at the Fermi level, the calculation gives 10.0 states/eV/cell. The theoretical density is 4.3 g/cm3. The calculation puts the total magnetization at 0.7 μB/f.u. The energy above the most stable polymorph in this dataset comes out at 1126 meV per atom.

Unit cell a=4.937 b=4.937 c=4.937 alpha=90.00 beta=90.00 gamma=90.00
Fractional positions:
1 Cr 0.500 0.500 0.500
2 Si 0.000 0.500 0.000
3 Si 0.500 0.000 0.000
4 Hf 0.000 0.000 0.000
5 Si 0.000 0.000 0.500

[10]
HfCrSi: optimized geometry, PBE-GGA.

Values from the calculation:
For the density of states at the Fermi level, the calculation gives 10.3 states/eV/cell. The theoretical density is 9.7 g/cm3. The calculation puts the total magnetization at 0.0 μB/f.u. The value obtained for the final energy is -8.816 eV/atom.

Unit cell a=4.973 b=5.105 c=6.996 alpha=90.00 beta=90.00 gamma=90.00
Fractional positions:
1 Cr 0.250 0.750 0.250
2 Hf 0.000 0.250 0.381
3 Hf 0.500 0.250 0.119
4 Hf 0.500 0.750 0.881
5 Si 0.500 0.000 0.500
6 Si 0.000 0.500 0.000
7 Si 0.000 0.000 0.000
8 Cr 0.750 0.750 0.250
9 Si 0.500 0.500 0.500
10 Hf 0.000 0.750 0.619
11 Cr 0.250 0.250 0.750
12 Cr 0.750 0.250 0.750

[11]
Hf2Cr3Si4: optimized geometry, PBE-GGA.

Values from the calculation:
For the density of states at the Fermi level, the calculation gives 13.6 states/eV/cell. The theoretical density is 8.2 g/cm3. The calculation puts the total magnetization at 1.6 μB/f.u. The value obtained for the final energy is -8.397 eV/atom.

Unit cell a=6.409 b=6.483 c=6.504 alpha=90.00 beta=90.00 gamma=109.68
Fractional positions:
1 Si 0.635 0.909 0.048
2 Hf 0.058 0.190 0.170
3 Si 0.132 0.492 0.865
4 Hf 0.558 0.190 0.330
5 Cr 0.500 0.500 0.000
6 Si 0.865 0.091 0.548
7 Cr 0.248 0.756 0.156
8 Cr 0.252 0.244 0.656
9 Cr 0.000 0.500 0.500
10 Si 0.365 0.091 0.952
11 Si 0.368 0.508 0.365
12 Si 0.868 0.508 0.135
13 Si 0.135 0.909 0.452
14 Si 0.632 0.492 0.635
15 Hf 0.942 0.810 0.830
16 Cr 0.748 0.756 0.344
17 Cr 0.752 0.244 0.844
18 Hf 0.442 0.810 0.670

[12]
HfCrSi: optimized geometry, PBE-GGA.

Values from the calculation:
For the density of states at the Fermi level, the calculation gives 5.7 states/eV/cell. The theoretical density is 9.2 g/cm3. The calculation puts the total magnetization at 0.0 μB/f.u. The value obtained for the final energy is -8.689 eV/atom.

Unit cell a=5.118 b=3.819 c=9.604 alpha=90.00 beta=93.22 gamma=90.00
Fractional positions:
1 Hf 0.026 0.500 0.083
2 Si 0.768 0.500 0.351
3 Si 0.500 0.500 0.959
4 Si 0.768 0.000 0.851
5 Hf 0.531 0.000 0.163
6 Hf 0.026 0.000 0.583
7 Hf 0.531 0.500 0.663
8 Cr 0.272 0.000 0.862
9 Cr 0.063 0.000 0.299
10 Cr 0.272 0.500 0.362
11 Cr 0.063 0.500 0.799
12 Si 0.500 0.000 0.459

[13]
HfCrSi2: optimized geometry, PBE-GGA.

Values from the calculation:
For the density of states at the Fermi level, the calculation gives 7.0 states/eV/cell. The theoretical density is 7.2 g/cm3. The calculation puts the total magnetization at 1.4 μB/f.u. The energy above the most stable polymorph in this dataset comes out at 811 meV per atom.

Unit cell a=3.842 b=3.842 c=9.403 alpha=78.21 beta=78.21 gamma=90.00
Fractional positions:
1 Si 0.175 0.625 0.250
2 Si 0.875 0.825 0.750
3 Si 0.375 0.425 0.750
4 Hf 0.750 0.250 0.500
5 Cr 0.500 0.500 0.000
6 Si 0.575 0.125 0.250
7 Hf 0.000 0.000 0.000
8 Cr 0.250 0.750 0.500

[14]
HfCr2Si2: optimized geometry, PBE-GGA.

Values from the calculation:
For the density of states at the Fermi level, the calculation gives 4.9 states/eV/cell. The theoretical density is 7.5 g/cm3. The calculation puts the total magnetization at 0.0 μB/f.u. The energy above the most stable polymorph in this dataset comes out at 221 meV per atom.

Unit cell a=4.250 b=4.250 c=5.117 alpha=65.47 beta=65.47 gamma=90.00
Fractional positions:
1 Si 0.750 0.250 0.500
2 Cr 0.618 0.618 0.765
3 Hf 0.000 0.000 0.000
4 Si 0.250 0.750 0.500
5 Cr 0.382 0.382 0.235

[15]
HfCrSi2: optimized geometry, PBE-GGA.

Values from the calculation:
For the density of states at the Fermi level, the calculation gives 24.3 states/eV/cell. The theoretical density is 8.1 g/cm3. The calculation puts the total magnetization at 0.0 μB/f.u. The energy above the most stable polymorph in this dataset comes out at 0 meV per atom.

Unit cell a=7.990 b=9.040 c=9.721 alpha=90.00 beta=90.00 gamma=90.00
Fractional positions:
1 Si 0.500 0.961 0.880
2 Cr 0.744 0.500 0.000
3 Hf 0.254 0.328 0.452
4 Si 0.500 0.461 0.620
5 Hf 0.746 0.672 0.548
6 Si 0.000 0.460 0.625
7 Hf 0.500 0.331 0.180
8 Si 0.851 0.329 0.181
9 Cr 0.749 0.421 0.752
10 Cr 0.251 0.421 0.752
11 Si 0.851 0.671 0.819
12 Si 0.000 0.888 0.598
13 Hf 0.254 0.172 0.952
14 Hf 0.254 0.672 0.548
15 Si 0.000 0.040 0.125
16 Cr 0.749 0.579 0.248
17 Si 0.149 0.171 0.681
18 Hf 0.254 0.828 0.048
19 Cr 0.256 0.500 0.000
20 Cr 0.749 0.079 0.252
21 Si 0.000 0.612 0.098
22 Si 0.149 0.329 0.181
23 Cr 0.251 0.579 0.248
24 Si 0.000 0.388 0.902
25 Cr 0.251 0.921 0.748
26 Hf 0.500 0.669 0.820
27 Hf 0.746 0.172 0.952
28 Si 0.000 0.112 0.402
29 Si 0.500 0.374 0.896
30 Si 0.500 0.626 0.104
31 Si 0.149 0.829 0.319
32 Hf 0.746 0.828 0.048
33 Hf 0.746 0.328 0.452
34 Hf 0.500 0.169 0.680
35 Hf 0.500 0.831 0.320
36 Si 0.500 0.126 0.396
37 Si 0.500 0.039 0.120
38 Cr 0.256 0.000 0.500
39 Si 0.000 0.540 0.375
40 Si 0.851 0.171 0.681
41 Cr 0.744 0.000 0.500
42 Cr 0.251 0.079 0.252
43 Si 0.149 0.671 0.819
44 Si 0.851 0.829 0.319
45 Cr 0.749 0.921 0.748
46 Si 0.500 0.539 0.380
47 Si 0.500 0.874 0.604
48 Si 0.000 0.960 0.875

[16]
HfCr3Si: optimized geometry, PBE-GGA.

Values from the calculation:
For the density of states at the Fermi level, the calculation gives 5.5 states/eV/cell. The theoretical density is 7.3 g/cm3. The calculation puts the total magnetization at 5.3 μB/f.u. The energy above the most stable polymorph in this dataset comes out at 0 meV per atom.

Unit cell a=4.344 b=4.344 c=4.344 alpha=90.00 beta=90.00 gamma=90.00
Fractional positions:
1 Cr 0.000 0.500 0.000
2 Si 0.000 0.000 0.000
3 Cr 0.500 0.000 0.000
4 Cr 0.000 0.000 0.500
5 Hf 0.500 0.500 0.500

[17]
HfCrSi: optimized geometry, PBE-GGA.

Values from the calculation:
For the density of states at the Fermi level, the calculation gives 6.7 states/eV/cell. The theoretical density is 9.4 g/cm3. The calculation puts the total magnetization at 0.0 μB/f.u. The value obtained for the final energy is -8.935 eV/atom.

Unit cell a=3.453 b=6.716 c=7.863 alpha=90.00 beta=90.00 gamma=90.00
Fractional positions:
1 Si 0.250 0.260 0.367
2 Cr 0.750 0.375 0.560
3 Hf 0.750 0.957 0.331
4 Si 0.750 0.240 0.867
5 Si 0.750 0.740 0.633
6 Cr 0.250 0.125 0.060
7 Hf 0.250 0.043 0.669
8 Si 0.250 0.760 0.133
9 Hf 0.750 0.457 0.169
10 Cr 0.750 0.875 0.940
11 Cr 0.250 0.625 0.440
12 Hf 0.250 0.543 0.831

[18]
HfCrSi2: optimized geometry, PBE-GGA.

Values from the calculation:
For the density of states at the Fermi level, the calculation gives 2.6 states/eV/cell. The theoretical density is 7.9 g/cm3. The calculation puts the total magnetization at 0.4 μB/f.u. The energy above the most stable polymorph in this dataset comes out at 272 meV per atom.

Unit cell a=3.985 b=3.985 c=4.945 alpha=66.24 beta=66.24 gamma=60.00
Fractional positions:
1 Hf 0.500 0.500 0.500
2 Si 0.717 0.717 0.848
3 Si 0.283 0.283 0.152
4 Cr 0.000 0.000 0.000

[19]
HfCrSi: optimized geometry, PBE-GGA.

Values from the calculation:
For the density of states at the Fermi level, the calculation gives 5.6 states/eV/cell. The theoretical density is 8.8 g/cm3. The calculation puts the total magnetization at 0.0 μB/f.u. The value obtained for the final energy is -8.573 eV/atom.

Unit cell a=3.458 b=6.545 c=8.633 alpha=90.00 beta=90.00 gamma=90.00
Fractional positions:
1 Si 0.500 0.739 0.625
2 Hf 0.000 0.037 0.554
3 Si 0.500 0.358 0.947
4 Cr 0.500 0.336 0.675
5 Si 0.500 0.858 0.053
6 Si 0.500 0.239 0.375
7 Cr 0.500 0.836 0.325
8 Hf 0.000 0.659 0.858
9 Cr 0.500 0.043 0.814
10 Cr 0.500 0.543 0.186
11 Hf 0.000 0.159 0.142
12 Hf 0.000 0.537 0.446

[20]
Hf3Cr2Si4: optimized geometry, PBE-GGA.

Values from the calculation:
For the density of states at the Fermi level, the calculation gives 6.5 states/eV/cell. The theoretical density is 8.8 g/cm3. The calculation puts the total magnetization at 0.0 μB/f.u. The value obtained for the final energy is -8.385 eV/atom.

Unit cell a=4.038 b=5.332 c=7.656 alpha=109.72 beta=90.00 gamma=112.25
Fractional positions:
1 Si 0.914 0.827 0.593
2 Hf 0.000 0.000 0.000
3 Cr 0.675 0.349 0.348
4 Hf 0.636 0.272 0.690
5 Si 0.714 0.429 0.070
6 Si 0.286 0.571 0.930
7 Cr 0.325 0.651 0.652
8 Hf 0.364 0.728 0.310
9 Si 0.086 0.173 0.407